VASP calculation (GGA-PBE) on NiAs2Ru after structural relaxation.

Cell and atoms, written as CIF:
```
data_NiAs2Ru
_symmetry_space_group_name_H-M 'P 1'
_symmetry_Int_Tables_number 1
_symmetry_space_group_name_Hall 'P 1'
_cell_length_a 3.4101
_cell_length_b 3.4101
_cell_length_c 5.0730
_cell_angle_alpha 90.00
_cell_angle_beta 90.00
_cell_angle_gamma 90.00
loop_
_atom_site_label
_atom_site_fract_x
_atom_site_fract_y
_atom_site_fract_z
As1 0.0000 0.0000 0.9457
As2 0.5000 0.5000 0.3158
Ni1 0.0000 0.0000 0.4481
Ru1 0.5000 0.5000 0.7905
```

ΔE to the lowest computed polymorph = 0.1 kJ per mole of atoms